A geometry-optimized ZrTlIN2 structure. Source: the Alexandria database, functional PBE.

Values from the calculation:
The value obtained for the uncorrected formation energy is 1771 meV per atom. The distance to the lowest polymorph of the same formula comes out at 1505 meV per atom. As for the total magnetic moment: 0.00 μB/f.u. For the density of states at the Fermi level, the calculation gives 5.922 states/eV/cell. As for the final energy: -20.26 eV/cell.

Lattice parameters (Å, degrees): 4.312 4.312 5.793 90.00 90.00 90.00
Sites, in units of the cell vectors:
N: 0.500 0.000 0.000
N: 0.000 0.500 0.000
Zr: 0.500 0.500 0.500
Tl: 0.000 0.000 0.000
I: 0.000 0.000 0.500

---

A geometry-optimized SrIn3Br structure. Source: the Alexandria database, functional PBE.

Values from the calculation:
The value obtained for the uncorrected formation energy is -18 meV per atom. The distance to the lowest polymorph of the same formula comes out at 0 meV per atom. As for the total magnetic moment: 0.00 μB/f.u. For the density of states at the Fermi level, the calculation gives 3.085 states/eV/cell. As for the final energy: -11.66 eV/cell.

Lattice parameters (Å, degrees): 5.838 5.838 5.838 90.00 90.00 90.00
Sites, in units of the cell vectors:
Sr: 0.500 0.500 0.500
Br: 0.000 0.000 0.000
In: 0.000 0.000 0.500
In: 0.000 0.500 0.000
In: 0.500 0.000 0.000

---

A geometry-optimized AlIn2Cu2 structure. Source: the Alexandria database, functional PBE.

Values from the calculation:
The distance to the lowest polymorph of the same formula comes out at 147 meV per atom. As for the total magnetic moment: 0.00 μB/f.u. For the density of states at the Fermi level, the calculation gives 3.598 states/eV/cell. As for the final energy: -32.49 eV/cell. The calculated formation energy comes out at 1.2 eV/f.u.

Lattice parameters (Å, degrees): 8.167 8.167 2.834 90.00 90.00 90.00
Sites, in units of the cell vectors:
Al: 0.000 0.000 0.000
Al: 0.500 0.500 0.000
Cu: 0.160 0.660 0.500
Cu: 0.340 0.160 0.500
Cu: 0.840 0.340 0.500
Cu: 0.660 0.840 0.500
In: 0.139 0.361 0.000
In: 0.639 0.139 0.000
In: 0.861 0.639 0.000
In: 0.361 0.861 0.000

---

A geometry-optimized Ac3SmAg2 structure. Source: the Alexandria database, functional PBE.

Values from the calculation:
As for the total magnetic moment: 0.00 μB/f.u. For the density of states at the Fermi level, the calculation gives 7.026 states/eV/cell. As for the final energy: -23.64 eV/cell. The calculated formation energy comes out at -0.9 eV/f.u.

Lattice parameters (Å, degrees): 3.958 3.958 13.066 90.00 90.00 90.00
Sites, in units of the cell vectors:
Ag: 0.500 0.500 0.846
Ag: 0.500 0.500 0.154
Ac: 0.000 0.000 0.699
Ac: 0.000 0.000 0.301
Ac: 0.000 0.000 0.000
Sm: 0.500 0.500 0.500

---

What is the formula in the first record? ZrTlIN2

---

final energy of number 2 (SrIn3Br)? -11.66 eV/cell

---

Which value of final energy does entry 4 give? -23.64 eV/cell

---

The highest final energy belongs to which entry? SrIn3Br